No. 1
A plane-wave DFT calculation with SCAN was carried out for a PBEsol-optimized structure of LiYSe2.

Geometry as CIF:
```
data_LiYSe2
_cell_length_a 6.9369
_cell_length_b 6.9369
_cell_length_c 6.9369
_cell_angle_alpha 132.21
_cell_angle_beta 132.21
_cell_angle_gamma 69.90
_space_group_name_H-M_alt 'P 1'
_space_group_IT_number 1
_space_group_name_Hall 'P 1'
loop_
_atom_site_label
_atom_site_type_symbol
_atom_site_fract_x
_atom_site_fract_y
_atom_site_fract_z
Li1 Li 0.3750 0.6250 0.7500
Li2 Li 0.6250 0.3750 0.2500
Y1 Y 0.1250 0.8750 0.2500
Y2 Y 0.8750 0.1250 0.7500
Se1 Se 0.1229 0.3729 0.7500
Se2 Se 0.3729 0.1229 0.2500
Se3 Se 0.6271 0.8771 0.7500
Se4 Se 0.8771 0.6271 0.2500
```

Crystal system   tetragonal
Formation energy (no corrections)   -1.93 eV per atom
Total moment   0.000 μB/f.u.
Fermi-level density of states   0.0 states/eV/cell
Calculated total energy   -19.524 eV per atom



No. 2
A plane-wave DFT calculation with SCAN was carried out for a PBEsol-optimized structure of Rb2BaCrSi.

Geometry as CIF:
```
data_Rb2BaCrSi
_cell_length_a 6.5573
_cell_length_b 6.5573
_cell_length_c 5.1427
_cell_angle_alpha 90.00
_cell_angle_beta 90.00
_cell_angle_gamma 90.00
_space_group_name_H-M_alt 'P 1'
_space_group_IT_number 1
_space_group_name_Hall 'P 1'
loop_
_atom_site_label
_atom_site_type_symbol
_atom_site_fract_x
_atom_site_fract_y
_atom_site_fract_z
Rb1 Rb 0.0000 0.5000 0.0000
Rb2 Rb 0.5000 0.0000 0.0000
Ba1 Ba 0.0000 0.0000 0.0000
Cr1 Cr 0.0000 0.0000 0.5000
Si1 Si 0.5000 0.5000 0.5000
```

Crystal system   tetragonal
Formation energy (no corrections)   1.48 eV per atom
Total moment   4.068 μB/f.u.
Fermi-level density of states   5.3 states/eV/cell
Calculated total energy   -20.406 eV per atom



No. 3
A plane-wave DFT calculation with SCAN was carried out for a PBEsol-optimized structure of Fe2TcSb.

Geometry as CIF:
```
data_Fe2TcSb
_cell_length_a 5.0298
_cell_length_b 5.0298
_cell_length_c 5.0298
_cell_angle_alpha 144.20
_cell_angle_beta 130.04
_cell_angle_gamma 62.98
_space_group_name_H-M_alt 'P 1'
_space_group_IT_number 1
_space_group_name_Hall 'P 1'
loop_
_atom_site_label
_atom_site_type_symbol
_atom_site_fract_x
_atom_site_fract_y
_atom_site_fract_z
Fe1 Fe 0.2482 0.2482 0.0000
Fe2 Fe 0.7518 0.7518 0.0000
Tc1 Tc 0.0000 0.5000 0.5000
Sb1 Sb 0.5000 0.0000 0.5000
```

Crystal system   orthorhombic
Formation energy (no corrections)   0.21 eV per atom
Total moment   5.357 μB/f.u.
Fermi-level density of states   2.8 states/eV/cell
Calculated total energy   -26.934 eV per atom



No. 4
A plane-wave DFT calculation with SCAN was carried out for a PBEsol-optimized structure of Ta3AgO8.

Geometry as CIF:
```
data_Ta3AgO8
_cell_length_a 7.6360
_cell_length_b 5.1990
_cell_length_c 15.6280
_cell_angle_alpha 90.00
_cell_angle_beta 107.15
_cell_angle_gamma 90.00
_space_group_name_H-M_alt 'P 1'
_space_group_IT_number 1
_space_group_name_Hall 'P 1'
loop_
_atom_site_label
_atom_site_type_symbol
_atom_site_fract_x
_atom_site_fract_y
_atom_site_fract_z
Ta1 Ta 0.0017 0.2406 0.3354
Ta2 Ta 0.0017 0.2594 0.8354
Ta3 Ta 0.2547 0.7422 0.4160
Ta4 Ta 0.2547 0.7578 0.9160
Ta5 Ta 0.4901 0.7453 0.1650
Ta6 Ta 0.4901 0.7547 0.6650
Ta7 Ta 0.5099 0.2453 0.3350
Ta8 Ta 0.5099 0.2547 0.8350
Ta9 Ta 0.7453 0.2422 0.0840
Ta10 Ta 0.7453 0.2578 0.5840
Ta11 Ta 0.9983 0.7406 0.1646
Ta12 Ta 0.9983 0.7594 0.6646
Ag1 Ag 0.2371 0.2426 0.0801
Ag2 Ag 0.2371 0.2574 0.5801
Ag3 Ag 0.7629 0.7426 0.4199
Ag4 Ag 0.7629 0.7574 0.9199
O1 O 0.0178 0.5531 0.4014
O2 O 0.0178 0.9469 0.9014
O3 O 0.0778 0.5911 0.7830
O4 O 0.0778 0.9089 0.2830
O5 O 0.1453 0.0523 0.4438
O6 O 0.1453 0.4477 0.9438
O7 O 0.2284 0.6459 0.1569
O8 O 0.2284 0.8541 0.6569
O9 O 0.2830 0.0871 0.8448
O10 O 0.2830 0.4129 0.3448
O11 O 0.3670 0.6441 0.5349
O12 O 0.3670 0.8559 0.0349
O13 O 0.4382 0.0627 0.2241
O14 O 0.4382 0.4373 0.7241
O15 O 0.4496 0.5746 0.8899
O16 O 0.4496 0.9254 0.3899
O17 O 0.5504 0.0746 0.6101
O18 O 0.5504 0.4254 0.1101
O19 O 0.5618 0.5627 0.2759
O20 O 0.5618 0.9373 0.7759
O21 O 0.6330 0.1441 0.9651
O22 O 0.6330 0.3559 0.4651
O23 O 0.7170 0.5871 0.6552
O24 O 0.7170 0.9129 0.1552
O25 O 0.7716 0.1459 0.3431
O26 O 0.7716 0.3541 0.8431
O27 O 0.8547 0.5523 0.0562
O28 O 0.8547 0.9477 0.5562
O29 O 0.9222 0.0911 0.7170
O30 O 0.9222 0.4089 0.2170
O31 O 0.9822 0.0531 0.0986
O32 O 0.9822 0.4469 0.5986
```

Crystal system   monoclinic
Formation energy (no corrections)   -2.68 eV per atom
Total moment   0.000 μB/f.u.
Fermi-level density of states   0.0 states/eV/cell
Calculated total energy   -26.097 eV per atom



No. 5
A plane-wave DFT calculation with SCAN was carried out for a PBEsol-optimized structure of LaSF.

Geometry as CIF:
```
data_LaSF
_cell_length_a 4.0005
_cell_length_b 4.0005
_cell_length_c 6.8948
_cell_angle_alpha 90.00
_cell_angle_beta 90.00
_cell_angle_gamma 90.00
_space_group_name_H-M_alt 'P 1'
_space_group_IT_number 1
_space_group_name_Hall 'P 1'
loop_
_atom_site_label
_atom_site_type_symbol
_atom_site_fract_x
_atom_site_fract_y
_atom_site_fract_z
La1 La 0.2500 0.2500 0.2304
La2 La 0.7500 0.7500 0.7696
S1 S 0.2500 0.2500 0.6501
S2 S 0.7500 0.7500 0.3499
F1 F 0.2500 0.7500 0.0000
F2 F 0.7500 0.2500 0.0000
```

Crystal system   tetragonal
Formation energy (no corrections)   -3.45 eV per atom
Total moment   0.000 μB/f.u.
Fermi-level density of states   0.0 states/eV/cell
Calculated total energy   -22.207 eV per atom



No. 6
A plane-wave DFT calculation with SCAN was carried out for a PBEsol-optimized structure of TaCrW2.

Geometry as CIF:
```
data_TaCrW2
_cell_length_a 5.1382
_cell_length_b 5.1382
_cell_length_c 5.1382
_cell_angle_alpha 144.67
_cell_angle_beta 128.99
_cell_angle_gamma 63.58
_space_group_name_H-M_alt 'P 1'
_space_group_IT_number 1
_space_group_name_Hall 'P 1'
loop_
_atom_site_label
_atom_site_type_symbol
_atom_site_fract_x
_atom_site_fract_y
_atom_site_fract_z
Ta1 Ta 0.0000 0.0000 0.0000
Cr1 Cr 0.7515 0.2515 0.5000
W1 W 0.2578 0.7578 0.5000
W2 W 0.5089 0.5089 0.0000
```

Crystal system   orthorhombic
Total moment   0.000 μB/f.u.
Fermi-level density of states   1.7 states/eV/cell
Energy of formation   -1 meV/atom
Calculated total energy   -56.087 eV per atom
Excess energy over the best structure of this formula in the dataset   0.037 eV per atom



No. 7
A plane-wave DFT calculation with SCAN was carried out for a PBEsol-optimized structure of NiMoH2.

Geometry as CIF:
```
data_NiMoH2
_cell_length_a 4.9373
_cell_length_b 4.9373
_cell_length_c 4.9373
_cell_angle_alpha 132.84
_cell_angle_beta 132.84
_cell_angle_gamma 68.91
_space_group_name_H-M_alt 'P 1'
_space_group_IT_number 1
_space_group_name_Hall 'P 1'
loop_
_atom_site_label
_atom_site_type_symbol
_atom_site_fract_x
_atom_site_fract_y
_atom_site_fract_z
Ni1 Ni 0.0000 0.0000 0.0000
Ni2 Ni 0.7500 0.2500 0.5000
Mo1 Mo 0.2500 0.7500 0.5000
Mo2 Mo 0.5000 0.5000 0.0000
H1 H 0.0720 0.6250 0.9470
H2 H 0.3750 0.3220 0.4470
H3 H 0.6780 0.1250 0.0530
H4 H 0.8750 0.9280 0.5530
```

Crystal system   tetragonal
Total moment   0.000 μB/f.u.
Fermi-level density of states   2.8 states/eV/cell
Calculated total energy   -14.380 eV per atom
Excess energy over the best structure of this formula in the dataset   0.000 eV per atom



No. 8
A plane-wave DFT calculation with SCAN was carried out for a PBEsol-optimized structure of MgPb3.

Geometry as CIF:
```
data_MgPb3
_cell_length_a 6.5371
_cell_length_b 6.5371
_cell_length_c 6.5371
_cell_angle_alpha 149.41
_cell_angle_beta 127.76
_cell_angle_gamma 61.75
_space_group_name_H-M_alt 'P 1'
_space_group_IT_number 1
_space_group_name_Hall 'P 1'
loop_
_atom_site_label
_atom_site_type_symbol
_atom_site_fract_x
_atom_site_fract_y
_atom_site_fract_z
Mg1 Mg 0.0000 0.0000 0.0000
Pb1 Pb 0.2346 0.7346 0.5000
Pb2 Pb 0.5000 0.5000 0.0000
Pb3 Pb 0.7654 0.2654 0.5000
```

Crystal system   orthorhombic
Total moment   0.000 μB/f.u.
Fermi-level density of states   2.1 states/eV/cell
Energy of formation   -31 meV/atom
Calculated total energy   -58.111 eV per atom



No. 9
A plane-wave DFT calculation with SCAN was carried out for a PBEsol-optimized structure of CaCoAs2Br.

Geometry as CIF:
```
data_CaCoAs2Br
_cell_length_a 5.3478
_cell_length_b 5.3478
_cell_length_c 5.2580
_cell_angle_alpha 90.00
_cell_angle_beta 90.00
_cell_angle_gamma 90.00
_space_group_name_H-M_alt 'P 1'
_space_group_IT_number 1
_space_group_name_Hall 'P 1'
loop_
_atom_site_label
_atom_site_type_symbol
_atom_site_fract_x
_atom_site_fract_y
_atom_site_fract_z
Ca1 Ca 0.0000 0.0000 0.0000
Co1 Co 0.5000 0.5000 0.5000
As1 As 0.0000 0.5000 0.0000
As2 As 0.5000 0.0000 0.0000
Br1 Br 0.0000 0.0000 0.5000
```

Crystal system   tetragonal
Formation energy (no corrections)   0.75 eV per atom
Total moment   3.868 μB/f.u.
Fermi-level density of states   4.1 states/eV/cell
Calculated total energy   -16.611 eV per atom



No. 10
A plane-wave DFT calculation with SCAN was carried out for a PBEsol-optimized structure of Sr7La.

Geometry as CIF:
```
data_Sr7La
_cell_length_a 8.2131
_cell_length_b 8.2131
_cell_length_c 8.2131
_cell_angle_alpha 60.00
_cell_angle_beta 60.00
_cell_angle_gamma 60.00
_space_group_name_H-M_alt 'P 1'
_space_group_IT_number 1
_space_group_name_Hall 'P 1'
loop_
_atom_site_label
_atom_site_type_symbol
_atom_site_fract_x
_atom_site_fract_y
_atom_site_fract_z
Sr1 Sr 0.0000 0.0000 0.0000
Sr2 Sr 0.0000 0.0000 0.5000
Sr3 Sr 0.0000 0.5000 0.0000
Sr4 Sr 0.0000 0.5000 0.5000
Sr5 Sr 0.5000 0.0000 0.0000
Sr6 Sr 0.5000 0.0000 0.5000
Sr7 Sr 0.5000 0.5000 0.0000
La1 La 0.5000 0.5000 0.5000
```

Crystal system   cubic
Total moment   1.176 μB/f.u.
Fermi-level density of states   11.2 states/eV/cell
Energy of formation   83 meV/atom
Calculated total energy   -24.796 eV per atom



- Among the records above, which one has the highest total moment?
  Fe2TcSb



- Look up the total moment of the third one.
  5.357 μB/f.u.



- Which of these has the highest calculated total energy?
  NiMoH2